<1>
Zr2BePb: relaxed, PBE-GGA.

Unit cell a=4.4101 b=4.4407 c=8.2087 alpha=90.00 beta=90.00 gamma=90.00
Space group Cmmm (No. 65)
Unique sites:
Zr: 0.0000 0.0000 0.2002 (multiplicity 4)
Be: 0.0000 0.5000 0.0000 (multiplicity 2)
Pb: 0.0000 0.5000 0.5000 (multiplicity 2)

Total magnetization ... 0.00 μB per formula unit


<2>
Zr2BePb: relaxed, PBE-GGA.

Unit cell a=6.1001 b=8.4214 c=3.1657 alpha=90.00 beta=90.00 gamma=90.00
Space group Cmmm (No. 65)
Unique sites:
Zr: 0.2500 0.2500 0.0000 (multiplicity 4)
Be: 0.0000 0.0000 0.5000 (multiplicity 2)
Pb: 0.0000 0.5000 0.5000 (multiplicity 2)

Total magnetization ... 0.00 μB per formula unit


<3>
Zr2BePb: relaxed, PBE-GGA.

Unit cell a=3.7732 b=3.7732 c=6.0718 alpha=90.00 beta=90.00 gamma=90.00
Space group P4mm (No. 99)
Unique sites:
Zr: 0.0000 0.0000 0.0000 (multiplicity 1)
Zr: 0.5000 0.5000 0.2517 (multiplicity 1)
Be: 0.0000 0.0000 0.4319 (multiplicity 1)
Pb: 0.5000 0.5000 0.7309 (multiplicity 1)

Total magnetization ... 0.00 μB per formula unit


<4>
Zr2BePb: relaxed, PBE-GGA.

Unit cell a=6.9247 b=6.9247 c=6.9247 alpha=90.00 beta=90.00 gamma=90.00
Space group F-43m (No. 216)
Unique sites:
Zr: 0.0000 0.0000 0.0000 (multiplicity 4)
Zr: 0.2500 0.2500 0.2500 (multiplicity 4)
Be: 0.0000 0.0000 0.5000 (multiplicity 4)
Pb: 0.2500 0.2500 0.7500 (multiplicity 4)

Total magnetization ... 0.31 μB per formula unit


Relative energies with respect to the most stable structure, expressed in kJ/mol of atoms: <1> 0.0; <2> 11.3; <3> 24.5; <4> 57.4.


<1>
Zr2BePb: relaxed, PBE-GGA.

Unit cell a=3.6804 b=3.6804 c=5.9650 alpha=90.00 beta=90.00 gamma=90.00
Space group P4/mmm (No. 123)
Unique sites:
Zr: 0.0000 0.0000 0.2360 (multiplicity 2)
Be: 0.5000 0.5000 0.0000 (multiplicity 1)
Pb: 0.5000 0.5000 0.5000 (multiplicity 1)

Total magnetization ... 0.00 μB per formula unit


<2>
Zr2BePb: relaxed, PBE-GGA.

Unit cell a=4.1901 b=5.1087 c=7.7749 alpha=90.00 beta=90.00 gamma=90.00
Space group Cmm2 (No. 35)
Unique sites:
Zr: 0.0000 0.0000 0.0000 (multiplicity 2)
Zr: 0.0000 0.5000 0.2878 (multiplicity 2)
Be: 0.0000 0.5000 0.7971 (multiplicity 2)
Pb: 0.0000 0.0000 0.5861 (multiplicity 2)

Total magnetization ... 0.00 μB per formula unit


Relative energies with respect to the most stable structure, expressed in kJ/mol of atoms: <1> 0.0; <2> 8.7.


<1>
ZrBePb: relaxed, PBE-GGA.

Unit cell a=6.1925 b=6.1925 c=6.1925 alpha=90.00 beta=90.00 gamma=90.00
Space group F-43m (No. 216)
Unique sites:
Zr: 0.0000 0.0000 0.0000 (multiplicity 4)
Be: 0.2500 0.2500 0.7500 (multiplicity 4)
Pb: 0.0000 0.0000 0.5000 (multiplicity 4)

Total magnetization ... 0.00 μB per formula unit


<2>
ZrBePb: relaxed, PBE-GGA.

Unit cell a=4.1711 b=5.2112 c=10.8888 alpha=90.00 beta=90.00 gamma=90.00
Space group Fmm2 (No. 42)
Unique sites:
Zr: 0.0000 0.0000 0.0000 (multiplicity 4)
Be: 0.0000 0.0000 0.3566 (multiplicity 4)
Pb: 0.0000 0.0000 0.7077 (multiplicity 4)

Total magnetization ... 0.00 μB per formula unit


<3>
ZrBePb: relaxed, PBE-GGA.

Unit cell a=4.1000 b=4.1000 c=3.9874 alpha=90.00 beta=90.00 gamma=120.00
Space group P3m1 (No. 156)
Unique sites:
Zr: 0.0000 0.0000 0.0000 (multiplicity 1)
Be: 0.6667 0.3333 0.3524 (multiplicity 1)
Pb: 0.3333 0.6667 0.5229 (multiplicity 1)

Total magnetization ... 0.00 μB per formula unit


Relative energies with respect to the most stable structure, expressed in kJ/mol of atoms: <1> 18.3; <2> 11.4; <3> 0.0.